RbNdMg2Cl8, optimized geometry, DFT PBE-GGA; theoretical density = 2.45 g/cm3; space group = P-1; uncorrected formation energy = -1.967 eV/atom; density of states at the Fermi level = 0.0 states/eV/cell; calculated total energy = -47.296 eV for the cell shown
1.0
6.602 0.000 0.000
1.560 6.493 0.000
1.981 1.776 8.875
Rb Nd Mg Cl
1 1 2 8
Direct
0.000 0.000 0.000
0.000 0.000 0.500
0.463 0.452 0.206
0.537 0.548 0.794
0.186 0.721 0.732
0.236 0.771 0.287
0.298 0.243 0.441
0.368 0.309 0.020
0.632 0.691 0.980
0.702 0.757 0.559
0.764 0.229 0.713
0.814 0.279 0.268